{"formula": "SrZrNi2Ir", "functional": "PBE", "state": "optimized geometry", "lattice_angstrom": [[-3.856, -2.733, 0.767], [2.152, -1.889, 4.085], [-1.948, 3.488, 2.639]], "species": ["Zr", "Ni", "Sr", "Ir", "Ni"], "frac_coords": [[0.000, 0.000, 0.000], [0.000, 0.000, 0.500], [0.500, 0.500, 0.500], [0.000, 0.500, 0.000], [0.500, 0.000, 0.000]]}

{"formula": "TaNi3Ir", "functional": "PBE", "state": "optimized geometry", "lattice_angstrom": [[4.700, 1.422, -0.675], [1.660, 4.666, -2.314], [-0.704, -0.565, 4.805]], "species": ["Ni", "Ir", "Ni", "Ni", "Ta"], "frac_coords": [[0.000, 0.500, 0.500], [0.500, 0.000, 0.000], [0.000, 0.000, 0.500], [0.000, 0.500, 0.000], [0.000, 0.000, 0.000]], "de_polymorph_mev_per_atom": 947}

{"formula": "Ta2NiIr", "functional": "PBE", "state": "optimized geometry", "lattice_angstrom": [[4.801, 0.010, 0.001], [3.154, 3.620, 0.001], [1.636, 0.747, 3.535]], "species": ["Ni", "Ta", "Ta", "Ir"], "frac_coords": [[0.250, 0.250, 0.250], [0.000, 0.000, 0.000], [0.500, 0.500, 0.500], [0.750, 0.750, 0.750]]}

{"formula": "TaNi2Ir", "functional": "PBE", "state": "optimized geometry", "lattice_angstrom": [[-0.038, -1.360, 4.439], [3.303, -1.778, 2.737], [1.525, 2.496, 2.380]], "species": ["Ni", "Ir", "Ni", "Ta"], "frac_coords": [[0.750, 0.750, 0.750], [0.250, 0.250, 0.250], [0.000, 0.000, 0.000], [0.500, 0.500, 0.500]]}

{"formula": "Ta2NiIr", "functional": "PBE", "state": "optimized geometry", "lattice_angstrom": [[-1.181, 0.112, 4.666], [1.648, -0.375, 4.508], [0.853, 4.625, 1.006]], "species": ["Ta", "Ni", "Ta", "Ir"], "frac_coords": [[0.988, 0.988, 0.045], [0.246, 0.246, 0.222], [0.756, 0.756, 0.717], [0.509, 0.509, 0.516]]}

{"formula": "TaNi6Ir2", "functional": "PBE", "state": "optimized geometry", "lattice_angstrom": [[-3.750, 2.193, 0.061], [-1.484, 1.602, 3.988], [2.468, 6.319, 0.972]], "species": ["Ir", "Ni", "Ir", "Ta", "Ni", "Ni", "Ni", "Ni", "Ni"], "frac_coords": [[0.500, 0.841, 0.318], [0.170, 0.819, 0.664], [0.500, 0.159, 0.682], [0.000, 0.000, 0.000], [0.830, 0.181, 0.336], [0.321, 0.357, 0.000], [0.679, 0.643, 0.000], [0.830, 0.517, 0.664], [0.170, 0.483, 0.336]]}

{"formula": "TaNi2Ir2", "functional": "PBE", "state": "optimized geometry", "lattice_angstrom": [[6.994, 0.000, 0.000], [0.000, 6.994, 0.000], [0.000, 0.000, 2.823]], "species": ["Ta", "Ir", "Ta", "Ir", "Ni", "Ir", "Ni", "Ir", "Ni", "Ni"], "frac_coords": [[0.500, 0.500, 0.000], [0.826, 0.326, 0.500], [0.000, 0.000, 0.000], [0.674, 0.826, 0.500], [0.378, 0.878, 0.000], [0.174, 0.674, 0.500], [0.622, 0.122, 0.000], [0.326, 0.174, 0.500], [0.122, 0.378, 0.000], [0.878, 0.622, 0.000]], "de_polymorph_mev_per_atom": 0}

{"formula": "TaNi2Ir", "functional": "PBE", "state": "optimized geometry", "lattice_angstrom": [[4.320, 0.000, 0.000], [0.000, 5.278, -0.870], [0.000, -1.888, 5.007]], "species": ["Ta", "Ta", "Ir", "Ni", "Ni", "Ni", "Ir", "Ni"], "frac_coords": [[0.750, 0.665, 0.333], [0.250, 0.335, 0.667], [0.750, 0.676, 0.838], [0.750, 0.156, 0.829], [0.250, 0.844, 0.171], [0.750, 0.156, 0.327], [0.250, 0.324, 0.162], [0.250, 0.844, 0.673]]}

no.,E_form (eV per atom)
1,0.456
2,0.730
3,-0.398
4,-0.436
5,-0.318
6,-0.080
7,-0.144
8,-0.485